Computed, not measured: a geometry-optimized GdAs2Au structure at the PBE-GGA level of DFT.

The structure belongs to space group P4/mmm (No. 123); the cell edges are 4.564, 4.564 and 3.937 Å and the angles 90.00°, 90.00° and 90.00°. The inequivalent atoms are Gd at (0.000, 0.000, 0.000), As at (0.000, 0.500, 0.500) and Au at (0.500, 0.500, 0.000).

As for the total DFT energy (no corrections): -7.303 eV per atom. The calculation puts the density of states at the Fermi level at 0.6468 states/eV/atom. The value obtained for the energy of formation is -247 kJ/mol of formula units. The magnetization is 6.83 μB per formula unit.